<P>
This record from the Alexandria database describes an optimized crystal structure of ZrPd2N2. The functional is PBE-GGA.

Lattice parameters (Å, degrees): 3.982 3.982 5.020 66.63 66.63 90.00
Sites, in units of the cell vectors:
1 Pd 0.658 0.658 0.684
2 Pd 0.342 0.342 0.316
3 Zr 0.000 0.000 0.000
4 N 0.250 0.750 0.500
5 N 0.750 0.250 0.500

Computed properties:
SG: I4/mmm, No. 139
D(E_F), states/eV/atom: 0.4348

<Q>
This record from the Alexandria database describes an optimized crystal structure of ZrPd2N2. The functional is PBE-GGA.

Lattice parameters (Å, degrees): 6.886 6.886 2.928 90.00 90.00 90.00
Sites, in units of the cell vectors:
1 Pd 0.628 0.128 0.000
2 Pd 0.872 0.628 0.000
3 Pd 0.372 0.872 0.000
4 Pd 0.128 0.372 0.000
5 N 0.775 0.275 0.500
6 N 0.225 0.725 0.500
7 N 0.275 0.225 0.500
8 N 0.725 0.775 0.500
9 Zr 0.000 0.000 0.000
10 Zr 0.500 0.500 0.000

Computed properties:
SG: P4/mbm, No. 127
D(E_F), states/eV/atom: 0.1310

Least stable = <Q>

<P>
This record from the Alexandria database describes an optimized crystal structure of ZrPd3N. The functional is PBE-GGA.

Lattice parameters (Å, degrees): 4.239 4.239 4.239 90.00 90.00 90.00
Sites, in units of the cell vectors:
1 N 0.000 0.000 0.000
2 Pd 0.000 0.000 0.500
3 Pd 0.500 0.000 0.000
4 Pd 0.000 0.500 0.000
5 Zr 0.500 0.500 0.500

Computed properties:
SG: Pm-3m, No. 221
D(E_F), states/eV/atom: 1.5640

<Q>
This record from the Alexandria database describes an optimized crystal structure of ZrPd3N. The functional is PBE-GGA.

Lattice parameters (Å, degrees): 4.972 4.972 4.972 90.00 90.00 90.00
Last column: magnetic moment on the atom in μB.
Sites, in units of the cell vectors:
1 Pd 0.500 0.000 0.000  -0.03
2 Pd 0.000 0.500 0.000  -0.01
3 Pd 0.000 0.000 0.500  0.02
4 N 0.500 0.500 0.500  1.62
5 Zr 0.000 0.000 0.000  -0.03

Computed properties:
SG: Pm-3m, No. 221
D(E_F), states/eV/atom: 0.4480

Least stable = <Q>

<P>
This record from the Alexandria database describes an optimized crystal structure of Pm2N. The functional is PBE-GGA.

Lattice parameters (Å, degrees): 3.603 3.604 6.353 89.81 90.00 120.00
Sites, in units of the cell vectors:
1 N 0.000 0.000 0.000
2 Pm 0.667 0.335 0.784
3 Pm 0.333 0.665 0.216

Computed properties:
SG: C2/m, No. 12
D(E_F), states/eV/atom: 0.9953

<Q>
This record from the Alexandria database describes an optimized crystal structure of Pm2N. The functional is PBE-GGA.

Lattice parameters (Å, degrees): 3.444 6.387 9.735 88.52 90.00 105.64
Sites, in units of the cell vectors:
1 Pm 0.361 0.722 0.556
2 Pm 0.869 0.738 0.227
3 Pm 0.388 0.775 0.902
4 Pm 0.639 0.278 0.444
5 Pm 0.612 0.225 0.098
6 Pm 0.131 0.262 0.773
7 N 0.000 0.000 0.000
8 N 0.747 0.494 0.660
9 N 0.253 0.506 0.340

Computed properties:
SG: C2/m, No. 12
D(E_F), states/eV/atom: 0.6193

Least stable = <Q>

<P>
This record from the Alexandria database describes an optimized crystal structure of Pm5N4. The functional is PBE-GGA.

Lattice parameters (Å, degrees): 3.199 7.741 7.741 87.55 78.07 78.07
Sites, in units of the cell vectors:
1 N 0.639 0.000 0.723
2 N 0.639 0.723 0.000
3 N 0.361 0.000 0.277
4 N 0.361 0.277 0.000
5 Pm 0.741 0.259 0.259
6 Pm 0.259 0.741 0.741
7 Pm 0.000 0.000 0.000
8 Pm 0.000 0.259 0.741
9 Pm 0.000 0.741 0.259

Computed properties:
SG: I4/mmm, No. 139
D(E_F), states/eV/atom: 0.3344

<Q>
This record from the Alexandria database describes an optimized crystal structure of Pm5N4. The functional is PBE-GGA.

Lattice parameters (Å, degrees): 3.743 7.408 7.408 86.34 75.36 75.36
Sites, in units of the cell vectors:
1 Pm 0.239 0.158 0.364
2 Pm 0.761 0.842 0.636
3 Pm 0.603 0.636 0.158
4 Pm 0.397 0.364 0.842
5 Pm 0.000 0.000 0.000
6 N 0.862 0.945 0.332
7 N 0.138 0.055 0.668
8 N 0.806 0.332 0.055
9 N 0.194 0.668 0.945

Computed properties:
SG: I4/m, No. 87
D(E_F), states/eV/atom: 0.2653

Least stable = <P>

<P>
This record from the Alexandria database describes an optimized crystal structure of PmPr4N4. The functional is PBE-GGA.

Lattice parameters (Å, degrees): 6.023 6.023 7.032 115.36 115.36 90.00
Last column: magnetic moment on the atom in μB.
Sites, in units of the cell vectors:
1 N 0.354 0.885 0.238  -0.03
2 N 0.646 0.646 0.762  -0.03
3 N 0.885 0.354 0.238  -0.03
4 N 0.115 0.115 0.762  -0.03
5 Pr 0.500 0.000 0.000  0.20
6 Pr 0.713 0.713 0.426  0.20
7 Pr 0.000 0.500 0.000  0.20
8 Pr 0.287 0.287 0.574  0.20
9 Pm 0.000 0.000 0.000  0.28

Computed properties:
SG: I-42m, No. 121
D(E_F), states/eV/atom: 0.5454

<Q>
This record from the Alexandria database describes an optimized crystal structure of PmPr4N4. The functional is PBE-GGA.

Lattice parameters (Å, degrees): 6.393 6.393 6.393 99.61 99.61 131.78
Sites, in units of the cell vectors:
1 Pr 0.187 0.389 0.576
2 Pr 0.611 0.187 0.798
3 Pr 0.813 0.611 0.424
4 Pr 0.389 0.813 0.202
5 Pm 0.000 0.000 0.000
6 N 0.707 0.906 0.613
7 N 0.094 0.707 0.801
8 N 0.906 0.293 0.199
9 N 0.293 0.094 0.387

Computed properties:
SG: I4/m, No. 87
D(E_F), states/eV/atom: 0.4500

Least stable = <P>

<P>
This record from the Alexandria database describes an optimized crystal structure of Pm3PrN3. The functional is PBE-GGA.

Lattice parameters (Å, degrees): 6.354 6.354 9.901 71.28 71.28 60.00
Last column: magnetic moment on the atom in μB.
Sites, in units of the cell vectors:
1 N 0.304 0.572 0.185  -0.01
2 N 0.939 0.304 0.185  -0.01
3 N 0.061 0.696 0.815  -0.01
4 N 0.428 0.061 0.815  -0.01
5 N 0.572 0.939 0.185  -0.01
6 N 0.696 0.428 0.815  -0.01
7 Pm 0.582 0.216 0.302  0.06
8 Pm 0.418 0.784 0.698  0.06
9 Pm 0.899 0.582 0.302  0.06
10 Pm 0.101 0.418 0.698  0.06
11 Pm 0.784 0.101 0.698  0.06
12 Pm 0.216 0.899 0.302  0.06
13 Pr 0.333 0.333 0.000  0.06
14 Pr 0.667 0.667 0.000  0.06

Computed properties:
SG: R-3, No. 148
D(E_F), states/eV/atom: 0.5611

<Q>
This record from the Alexandria database describes an optimized crystal structure of Pm3PrN3. The functional is PBE-GGA.

Lattice parameters (Å, degrees): 5.140 5.140 5.140 90.00 90.00 90.00
Sites, in units of the cell vectors:
1 Pr 0.500 0.500 0.500
2 Pm 0.000 0.000 0.500
3 Pm 0.500 0.000 0.000
4 Pm 0.000 0.500 0.000
5 N 0.500 0.000 0.500
6 N 0.000 0.500 0.500
7 N 0.500 0.500 0.000

Computed properties:
SG: Pm-3m, No. 221
D(E_F), states/eV/atom: 0.4335

Least stable = <P>